An optimized crystal structure of Ca15NiIr4O24. Source: Alexandria, functional PBE with a Hubbard U.

electronic total energy	-6.51	eV per atom
calculated volume	12.95	A^3/atom
total magnetic moment	6.2	μB per formula unit
ρ	5.282	g/cm³

a = 6.584 Å, b = 9.378 Å, c = 9.232 Å
α = 90.00°, β = 91.42°, γ = 90.00°
Space group P2 (No. 3)
One atom of each set of equivalent atoms:
Ca 0.000 0.000 0.000 x1
Ca 0.000 0.135 0.500 x1
Ca 0.000 0.494 0.500 x1
Ca 0.000 0.635 0.000 x1
Ca 0.138 0.815 0.680 x2
Ca 0.146 0.313 0.177 x2
Ca 0.361 0.955 0.314 x2
Ca 0.364 0.452 0.823 x2
Ca 0.500 0.273 0.500 x1
Ca 0.500 0.635 0.500 x1
Ca 0.500 0.781 0.000 x1
Ni 0.500 0.133 0.000 x1
Ir 0.250 0.635 0.250 x2
Ir 0.252 0.136 0.752 x2
O 0.046 0.073 0.259 x2
O 0.047 0.569 0.758 x2
O 0.172 0.811 0.132 x2
O 0.183 0.310 0.627 x2
O 0.193 0.746 0.435 x2
O 0.209 0.245 0.939 x2
O 0.305 0.524 0.065 x2
O 0.307 0.023 0.567 x2
O 0.328 0.456 0.368 x2
O 0.328 0.970 0.884 x2
O 0.452 0.192 0.224 x2
O 0.454 0.704 0.742 x2